Below is CrFe2Rh at its PBEsol-relaxed geometry, with properties calculated at the meta-GGA SCAN level.

CIF file:
```
data_CrFe2Rh
_chemical_formula_sum 'Cr1 Fe2 Rh1'
_symmetry_space_group_name_H-M 'P 1'
_symmetry_Int_Tables_number 1
_symmetry_space_group_name_Hall 'P 1'
_cell_length_a 4.429
_cell_length_b 4.429
_cell_length_c 4.429
_cell_angle_alpha 132.19
_cell_angle_beta 132.19
_cell_angle_gamma 69.93
loop_
_atom_site_label
_atom_site_type_symbol
_atom_site_fract_x
_atom_site_fract_y
_atom_site_fract_z
_atom_site_occupancy
Cr1 Cr 0.000 0.000 0.000 1
Fe1 Fe 0.250 0.750 0.500 1
Fe2 Fe 0.500 0.500 0.000 1
Rh1 Rh 0.750 0.250 0.500 1
```

Properties
Its space group is I-4m2. The energy relative to the elements is -0.5 eV per formula unit.